Entry 1:
Below is an optimized crystal structure of BaMoIr2, with properties calculated at the PBE level.

Cell and atoms, written as POSCAR:
```
BaMoIr2
1.0
3.4683 0.0000 0.0000
0.0000 5.8099 0.0000
0.0000 0.0000 9.2681
Ba Mo Ir
2 2 4
Cartesian
0.0000 0.0000 0.0000
1.7341 2.9049 4.6341
0.0000 0.0000 4.6341
1.7341 2.9049 0.0000
0.0000 2.9049 1.7420
0.0000 2.9049 7.5261
1.7341 0.0000 2.8921
1.7341 0.0000 6.3761
```

Results
**Relative energy among the computed polymorphs**: 627 meV per atom
**Size of the total moment**: 0.000 μB/cell
**Final energy**: -6.90 eV per atom
**Space-group type**: Immm, No. 71
**Formation energy**: 0.71 eV per atom

Entry 2:
Below is an optimized crystal structure of CaLaAlS4, with properties calculated at the PBE level.

Cell and atoms, written as POSCAR:
```
CaLaAlS4
1.0
-3.9203 4.0110 5.5881
3.9203 -4.0110 5.5881
3.9203 4.0110 -5.5881
Ca La Al S
2 2 2 8
Cartesian
-1.9601 2.0055 2.7941
1.9601 2.0055 2.7941
0.0000 0.0000 0.0000
0.0000 4.0110 0.0000
3.9203 2.0055 -1.4490
0.0000 2.0055 7.0371
3.9203 -0.0798 2.7244
3.9203 3.9312 -2.7244
2.0590 2.0055 -0.0485
5.7815 2.0055 -0.0485
-1.8613 2.0055 5.6366
1.8613 2.0055 5.6366
0.0000 0.0798 8.3126
0.0000 4.0908 2.8637
```

Results
**Size of the total moment**: 0.000 μB/cell
**Final energy**: -5.54 eV per atom
**Space-group type**: Imma, No. 74
**E_form (uncorrected)**: -1656 meV/atom

Entry 3:
Below is an optimized crystal structure of Ca2TmIn, with properties calculated at the PBE level.

Cell and atoms, written as POSCAR:
```
Ca2TmIn
1.0
3.6659 0.0000 0.0000
-1.8329 3.1748 0.0000
0.0000 0.0000 33.9497
Ca Tm In
6 3 3
Cartesian
0.0000 0.0000 0.0000
0.0000 0.0000 6.1256
0.0000 2.1165 22.6332
0.0000 2.1165 28.7588
1.8330 1.0583 11.3166
1.8330 1.0583 17.4422
0.0000 0.0000 14.4044
0.0000 2.1165 3.0878
1.8330 1.0583 25.7209
0.0000 0.0000 20.0364
0.0000 2.1165 8.7198
1.8330 1.0583 31.3529
```

Results
**Relative energy among the computed polymorphs**: 138 meV per atom
**Size of the total moment**: 2.110 μB/cell
**Final energy**: -2.87 eV per atom
**Space-group type**: R3m, No. 160
**Formation energy**: -0.06 eV per atom

Entry 4:
Below is an optimized crystal structure of LaEuNi2, with properties calculated at the PBE level.

Cell and atoms, written as POSCAR:
```
LaEuNi2
1.0
3.5336 0.0000 0.0000
0.0000 3.5336 0.0000
0.0000 0.0000 7.0281
La Eu Ni
1 1 2
Cartesian
0.0000 0.0000 0.0000
0.0000 0.0000 3.5140
1.7668 1.7668 1.5667
1.7668 1.7668 5.4614
```

Results
**Relative energy among the computed polymorphs**: 0 meV per atom
**Size of the total moment**: 7.098 μB/cell
**Final energy**: -6.86 eV per atom
**Space-group type**: P4/mmm, No. 123
**Formation energy**: -0.17 eV per atom

Entry 5:
Below is an optimized crystal structure of Rb2YGeCl6, with properties calculated at the PBE level.

Cell and atoms, written as POSCAR:
```
Rb2YGeCl6
1.0
-3.7584 3.7584 6.1837
3.7584 -3.7584 6.1837
3.7584 3.7584 -6.1837
Rb Y Ge Cl
2 1 1 6
Cartesian
3.7584 0.0000 3.0919
0.0000 3.7584 3.0919
0.0000 0.0000 0.0000
0.0000 0.0000 6.1837
0.0000 0.0000 2.6344
1.8668 1.8668 0.0000
1.8917 -1.8917 6.1837
-1.8917 1.8917 6.1837
1.8917 1.8917 6.1837
0.0000 0.0000 9.7330
```

Results
**Size of the total moment**: 1.000 μB/cell
**Final energy**: -4.07 eV per atom
**Space-group type**: I4/mmm, No. 139
**E_form (uncorrected)**: -1657 meV/atom

Entry 6:
Below is an optimized crystal structure of CaHfUO6, with properties calculated at the PBE level.

Cell and atoms, written as POSCAR:
```
CaHfUO6
1.0
5.6292 0.0000 0.0000
-2.8146 4.8750 0.0000
0.0000 0.0000 9.7695
Ca Hf U O
2 2 2 12
Cartesian
0.0000 0.0000 0.0000
0.0000 0.0000 4.8848
0.0000 3.2500 2.4424
2.8146 1.6250 7.3271
0.0000 3.2500 7.3271
2.8146 1.6250 2.4424
-1.0182 1.7666 1.3717
4.6083 1.7651 6.2564
-1.7937 3.1099 3.5131
3.8328 3.1084 8.3978
-0.7755 4.8735 1.3717
2.0391 0.0015 6.2564
1.0182 1.7666 3.5131
1.0208 1.7651 8.3978
0.7755 4.8735 3.5131
3.5901 0.0015 8.3978
1.7938 3.1099 1.3717
1.7963 3.1084 6.2564
```

Results
**Size of the total moment**: 0.000 μB/cell
**Final energy**: -9.15 eV per atom
**Space-group type**: P-31c, No. 163
**E_form (uncorrected)**: -3266 meV/atom

Entry 7:
Below is an optimized crystal structure of PaBeCoIr, with properties calculated at the PBE level.

Cell and atoms, written as POSCAR:
```
PaBeCoIr
1.0
3.7937 0.0000 0.0000
-1.8968 3.2854 0.0000
0.0000 0.0000 14.9776
Pa Be Co Ir
3 3 3 3
Cartesian
0.0000 0.0000 0.0000
0.0000 2.1903 9.9851
1.8968 1.0951 4.9925
0.0000 0.0000 12.0869
0.0000 2.1903 7.0944
1.8968 1.0951 2.1018
0.0000 0.0000 6.6837
0.0000 2.1903 1.6912
1.8968 1.0951 11.6762
0.0000 0.0000 3.0967
0.0000 2.1903 13.0817
1.8968 1.0951 8.0892
```

Results
**Size of the total moment**: 0.000 μB/cell
**Final energy**: -7.67 eV per atom
**Space-group type**: R3m, No. 160
**Formation energy**: -0.37 eV per atom

Entry 8:
Below is an optimized crystal structure of GaFeN2, with properties calculated at the PBE level.

Cell and atoms, written as POSCAR:
```
GaFeN2
1.0
4.4391 0.0000 0.0000
0.0000 4.4391 0.0000
0.0000 0.0000 8.5582
Ga Fe N
4 4 8
Cartesian
0.0000 0.0000 0.0000
0.0000 2.2195 2.1396
2.2195 0.0000 6.4187
2.2195 2.2195 4.2791
0.0000 0.0000 4.2791
0.0000 2.2195 6.4187
2.2195 0.0000 2.1396
2.2195 2.2195 0.0000
1.0275 1.1098 5.3489
1.1098 3.2470 7.4885
1.1098 3.4116 3.2093
1.1921 1.1098 1.0698
3.2470 3.3293 1.0698
3.3293 1.0275 3.2093
3.3293 1.1921 7.4885
3.4116 3.3293 5.3489
```

Results
**Size of the total moment**: 0.111 μB/cell
**Final energy**: -7.01 eV per atom
**Space-group type**: I-42d, No. 122
**E_form (uncorrected)**: 27 meV/atom

Entry 9:
Below is an optimized crystal structure of Mg14NbSn, with properties calculated at the PBE level.

Cell and atoms, written as POSCAR:
```
Mg14NbSn
1.0
6.3515 0.0000 0.0000
-3.1757 5.5005 0.0000
0.0000 0.0000 10.1132
Mg Nb Sn
14 1 1
Cartesian
0.0000 0.0000 2.5089
0.0000 0.0000 7.6043
-1.5386 2.7787 2.4767
-1.5386 2.7787 7.6365
1.5837 0.9144 5.0566
1.5997 0.9236 0.0000
1.5386 2.7787 2.4767
1.5386 2.7787 7.6365
0.0000 5.4436 2.4767
0.0000 5.4436 7.6365
4.7518 0.9236 0.0000
3.1757 3.6534 0.0000
4.7678 0.9144 5.0566
3.1757 3.6718 5.0566
0.0000 3.6670 0.0000
0.0000 3.6670 5.0566
```

Results
**Relative energy among the computed polymorphs**: 2 meV per atom
**Size of the total moment**: 0.001 μB/cell
**Final energy**: -2.24 eV per atom
**Space-group type**: P-6m2, No. 187
**Formation energy**: 0.03 eV per atom

Entry 10:
Below is an optimized crystal structure of La2Ge2Bi, with properties calculated at the PBE level.

Cell and atoms, written as POSCAR:
```
La2Ge2Bi
1.0
4.2060 0.0000 0.0000
0.0000 15.0237 0.0000
0.0000 0.0000 4.3630
La Ge Bi
4 4 2
Cartesian
0.0000 2.0179 0.0000
0.0000 13.0058 0.0000
2.1030 5.4940 0.0000
2.1030 9.5297 0.0000
0.0000 4.5049 2.1815
0.0000 10.5187 2.1815
2.1030 3.0069 2.1815
2.1030 12.0168 2.1815
0.0000 7.5118 2.1815
2.1030 0.0000 2.1815
```

Results
**Relative energy among the computed polymorphs**: 0 meV per atom
**Size of the total moment**: 0.000 μB/cell
**Final energy**: -5.42 eV per atom
**Space-group type**: Cmmm, No. 65
**Formation energy**: -0.82 eV per atom

Entry 11:
Below is an optimized crystal structure of KAlPb, with properties calculated at the PBE level.

Cell and atoms, written as POSCAR:
```
KAlPb
1.0
3.3972 0.0000 0.0000
0.0000 4.2944 0.0000
0.0000 0.0000 12.9939
K Al Pb
2 2 2
Cartesian
0.0000 0.0000 0.0000
1.6986 2.1472 6.4970
0.0000 0.0000 4.0460
1.6986 2.1472 10.5429
0.0000 0.0000 9.1310
1.6986 2.1472 2.6340
```

Results
**Size of the total moment**: 0.000 μB/cell
**Final energy**: -2.73 eV per atom
**Space-group type**: Imm2, No. 44
**Formation energy**: 0.12 eV per atom

Entry 12:
Below is an optimized crystal structure of Na2CaHfAl, with properties calculated at the PBE level.

Cell and atoms, written as POSCAR:
```
Na2CaHfAl
1.0
5.8729 0.0000 0.0000
0.0000 5.8729 0.0000
0.0000 0.0000 5.2630
Na Ca Hf Al
2 1 1 1
Cartesian
0.0000 2.9365 0.0000
2.9365 0.0000 0.0000
0.0000 0.0000 2.6315
2.9365 2.9365 0.0000
2.9365 2.9365 2.6315
```

Results
**Size of the total moment**: 0.020 μB/cell
**Final energy**: -2.74 eV per atom
**Space-group type**: P4/mmm, No. 123
**Formation energy**: 0.93 eV per atom

Entry 13:
Below is an optimized crystal structure of RbScC, with properties calculated at the PBE level.

Cell and atoms, written as POSCAR:
```
RbScC
1.0
3.9299 0.0000 0.0000
1.9624 3.4059 0.0000
0.1771 1.9251 12.4116
Rb Sc C
2 2 2
Cartesian
0.9862 1.7068 3.7499
5.0832 3.6241 8.6617
3.1222 4.7630 11.4281
2.9473 0.5680 0.9835
2.9447 2.8379 1.3188
3.1247 2.4931 11.0928
```

Results
**Relative energy among the computed polymorphs**: 229 meV per atom
**Size of the total moment**: 0.638 μB/cell
**Final energy**: -5.25 eV per atom
**Space-group type**: P-1, No. 2
**Formation energy**: 0.26 eV per atom

Entry 14:
Below is an optimized crystal structure of Mn3InSi, with properties calculated at the PBE level.

Cell and atoms, written as POSCAR:
```
Mn3InSi
1.0
4.9670 0.0000 0.0000
0.0000 4.9670 0.0000
0.0000 0.0000 4.9670
Mn In Si
3 1 1
Cartesian
0.0000 0.0000 2.4835
0.0000 2.4835 0.0000
2.4835 0.0000 0.0000
0.0000 0.0000 0.0000
2.4835 2.4835 2.4835
```

Results
**Relative energy among the computed polymorphs**: 946 meV per atom
**Size of the total moment**: 11.937 μB/cell
**Final energy**: -5.78 eV per atom
**Space-group type**: Pm-3m, No. 221
**E_form (uncorrected)**: 1358 meV/atom

Entry 15:
Below is an optimized crystal structure of Mg12CdHg3, with properties calculated at the PBE level.

Cell and atoms, written as POSCAR:
```
Mg12CdHg3
1.0
4.4769 0.0000 0.0000
0.0000 4.4769 0.0000
0.0000 0.0000 17.2816
Mg Cd Hg
12 1 3
Cartesian
0.0000 0.0000 0.0000
0.0000 0.0000 4.2823
0.0000 0.0000 8.6408
0.0000 0.0000 12.9993
0.0000 2.2384 2.1404
0.0000 2.2384 6.4379
0.0000 2.2384 10.8437
0.0000 2.2384 15.1412
2.2384 0.0000 2.1404
2.2384 0.0000 6.4379
2.2384 0.0000 10.8437
2.2384 0.0000 15.1412
2.2384 2.2384 8.6408
2.2384 2.2384 0.0000
2.2384 2.2384 4.2889
2.2384 2.2384 12.9927
```

Results
**Size of the total moment**: 0.000 μB/cell
**Final energy**: -1.43 eV per atom
**Space-group type**: P4/mmm, No. 123
**Formation energy**: -0.12 eV per atom

Entry 16:
Below is an optimized crystal structure of Tb6Ho8Tm, with properties calculated at the PBE level.

Cell and atoms, written as POSCAR:
```
Tb6Ho8Tm
1.0
9.3196 0.0000 0.0000
-4.6598 8.0710 0.0000
0.0000 0.0000 6.4917
Tb Ho Tm
6 8 1
Cartesian
-1.0779 3.3058 2.6275
-1.2579 7.3516 2.6275
2.3240 2.5864 3.8642
2.3358 5.4846 2.6275
5.9177 0.7194 3.8642
5.7377 4.7652 3.8642
-3.0134 5.5740 0.6676
1.3393 2.6743 0.6676
2.9856 0.1773 5.8240
0.0000 5.3807 5.4276
4.6598 2.6903 1.0641
1.6742 7.8937 0.6676
3.3205 5.3967 5.8240
7.6732 2.4970 5.8240
0.0000 0.0000 3.2458
```

Results
**Relative energy among the computed polymorphs**: 116 meV per atom
**Size of the total moment**: 0.000 μB/cell
**Final energy**: -4.35 eV per atom
**Space-group type**: P-3, No. 147
**Formation energy**: 0.24 eV per atom

Entry 17:
Below is an optimized crystal structure of InAsSe2Br, with properties calculated at the PBE level.

Cell and atoms, written as POSCAR:
```
InAsSe2Br
1.0
5.5882 0.0000 0.0000
0.0000 5.5882 0.0000
0.0000 0.0000 5.2766
In As Se Br
1 1 2 1
Cartesian
0.0000 0.0000 0.0000
2.7941 2.7941 0.0000
0.0000 2.7941 2.6383
2.7941 0.0000 2.6383
2.7941 2.7941 2.6383
```

Results
**Relative energy among the computed polymorphs**: 764 meV per atom
**Size of the total moment**: 2.124 μB/cell
**Final energy**: -2.43 eV per atom
**Space-group type**: P4/mmm, No. 123
**E_form (uncorrected)**: 779 meV/atom

Entry 18:
Below is an optimized crystal structure of U2Be3GeIr4, with properties calculated at the PBE level.

Cell and atoms, written as POSCAR:
```
U2Be3GeIr4
1.0
4.0156 0.0000 0.0000
0.0000 4.0156 0.0000
0.0000 0.0000 9.6317
U Be Ge Ir
2 3 1 4
Cartesian
0.0000 2.0078 2.2515
2.0078 0.0000 7.3802
0.0000 2.0078 8.5113
2.0078 0.0000 1.1205
2.0078 2.0078 4.8159
0.0000 0.0000 4.8159
0.0000 0.0000 0.0000
0.0000 2.0078 6.2430
2.0078 0.0000 3.3887
2.0078 2.0078 0.0000
```

Results
**Size of the total moment**: 3.121 μB/cell
**Final energy**: -7.86 eV per atom
**Space-group type**: P-4m2, No. 115
**Formation energy**: -0.48 eV per atom

Entry 19:
Below is an optimized crystal structure of B2C, with properties calculated at the PBE level.

Cell and atoms, written as POSCAR:
```
B2C
1.0
3.4791 0.0000 0.0000
-0.7175 4.4618 0.0000
-0.0834 -2.2967 5.4258
B C
8 4
Cartesian
0.0000 0.0000 0.0000
-0.4015 1.1279 2.7610
-0.0872 2.6647 0.4870
0.2646 -0.6837 3.1830
0.8926 -0.8680 4.9828
1.1322 -0.4554 1.4269
0.7795 0.5925 4.1371
1.7045 2.7519 3.1684
0.4160 2.6302 2.2635
2.3144 0.5566 1.4481
2.2962 1.5394 0.4187
2.0003 1.5299 4.0848
```

Results
**Relative energy among the computed polymorphs**: 275 meV per atom
**Size of the total moment**: 0.000 μB/cell
**Final energy**: -7.07 eV per atom
**Space-group type**: P1, No. 1
**Formation energy**: 0.46 eV per atom

Entry 20:
Below is an optimized crystal structure of LiSn2Pt9, with properties calculated at the PBE level.

Cell and atoms, written as POSCAR:
```
LiSn2Pt9
1.0
4.0002 0.0000 0.0000
0.0000 4.0002 0.0000
0.0000 0.0000 12.0284
Li Sn Pt
1 2 9
Cartesian
0.0000 0.0000 0.0000
0.0000 0.0000 3.9031
0.0000 0.0000 8.1253
0.0000 2.0001 1.8777
0.0000 2.0001 6.0142
0.0000 2.0001 10.1507
2.0001 0.0000 1.8777
2.0001 0.0000 6.0142
2.0001 0.0000 10.1507
2.0001 2.0001 0.0000
2.0001 2.0001 3.9751
2.0001 2.0001 8.0533
```

Results
**Size of the total moment**: 0.000 μB/cell
**Final energy**: -5.75 eV per atom
**Space-group type**: P4/mmm, No. 123
**Formation energy**: -0.39 eV per atom